Computed, not measured: a relaxed structure of Tb5ErHg6 at the PBE-GGA level of DFT.

Properties
Total moment   0.53 μB per formula unit
Calculated total energy   -70.572 eV per cell
D(E_F)   1.05 states/eV/atom
Formation energy from the elements   -0.480 eV per atom
Density   11.541 g cm⁻³

Cell: 5.261 15.840 7.478 Å, 90.00 90.00 90.00°
Space group Cmmm (No. 65)
One atom of each set of equivalent atoms:
1 Tb 0.000 0.000 0.000 (multiplicity 2)
2 Tb 0.000 0.332 0.000 (multiplicity 4)
3 Tb 0.000 0.334 0.500 (multiplicity 4)
4 Er 0.000 0.000 0.500 (multiplicity 2)
5 Hg 0.000 0.165 0.252 (multiplicity 8)
6 Hg 0.000 0.500 0.253 (multiplicity 4)